Record 1
# ScTcOsW, relaxed, DFT GGA-PBE
# Symmetry ... F-43m, No. 216
# Size of the total moment ... 0.00 Bohr magnetons per cell
# Energy of formation ... -0.29 eV per atom
data_ScTcOsW
_chemical_formula_sum 'Sc4 Tc4 Os4 W4'
_space_group_name_H-M_alt 'P 1'
_space_group_IT_number 1
_cell_length_a 6.3123
_cell_length_b 6.3123
_cell_length_c 6.3123
_cell_angle_alpha 90.00
_cell_angle_beta 90.00
_cell_angle_gamma 90.00
loop_
_space_group_symop_operation_xyz
'x,y,z'
loop_
_atom_site_label
_atom_site_type_symbol
_atom_site_fract_x
_atom_site_fract_y
_atom_site_fract_z
Sc1 Sc 0.0000 0.0000 0.0000
Sc2 Sc 0.0000 0.5000 0.5000
Sc3 Sc 0.5000 0.0000 0.5000
Sc4 Sc 0.5000 0.5000 0.0000
Tc1 Tc 0.2500 0.2500 0.7500
Tc2 Tc 0.2500 0.7500 0.2500
Tc3 Tc 0.7500 0.2500 0.2500
Tc4 Tc 0.7500 0.7500 0.7500
Os1 Os 0.2500 0.2500 0.2500
Os2 Os 0.2500 0.7500 0.7500
Os3 Os 0.7500 0.2500 0.7500
Os4 Os 0.7500 0.7500 0.2500
W1 W 0.0000 0.0000 0.5000
W2 W 0.0000 0.5000 0.0000
W3 W 0.5000 0.0000 0.0000
W4 W 0.5000 0.5000 0.5000

=====

Record 2
# TbSc2, relaxed, DFT GGA-PBE
# Symmetry ... Fm-3m, No. 225
# Distance to the lowest polymorph of the same formula ... 0.846 eV/atom
# Size of the total moment ... 0.06 Bohr magnetons per cell
# Energy of formation ... 0.88 eV per atom
data_TbSc2
_chemical_formula_sum 'Tb4 Sc8'
_space_group_name_H-M_alt 'P 1'
_space_group_IT_number 1
_cell_length_a 7.1434
_cell_length_b 7.1434
_cell_length_c 7.1434
_cell_angle_alpha 90.00
_cell_angle_beta 90.00
_cell_angle_gamma 90.00
loop_
_space_group_symop_operation_xyz
'x,y,z'
loop_
_atom_site_label
_atom_site_type_symbol
_atom_site_fract_x
_atom_site_fract_y
_atom_site_fract_z
Tb1 Tb 0.0000 0.0000 0.0000
Tb2 Tb 0.0000 0.5000 0.5000
Tb3 Tb 0.5000 0.0000 0.5000
Tb4 Tb 0.5000 0.5000 0.0000
Sc1 Sc 0.2500 0.2500 0.2500
Sc2 Sc 0.2500 0.2500 0.7500
Sc3 Sc 0.2500 0.7500 0.2500
Sc4 Sc 0.2500 0.7500 0.7500
Sc5 Sc 0.7500 0.2500 0.2500
Sc6 Sc 0.7500 0.2500 0.7500
Sc7 Sc 0.7500 0.7500 0.2500
Sc8 Sc 0.7500 0.7500 0.7500

=====

Record 3
# SmEr2Bi3, relaxed, DFT GGA-PBE
# Symmetry ... P-3m1, No. 164
# Final energy ... -5.196 eV/atom
# Size of the total moment ... 0.00 Bohr magnetons per cell
data_SmEr2Bi3
_chemical_formula_sum 'Sm1 Er2 Bi3'
_space_group_name_H-M_alt 'P 1'
_space_group_IT_number 1
_cell_length_a 4.4710
_cell_length_b 4.4710
_cell_length_c 10.9341
_cell_angle_alpha 90.00
_cell_angle_beta 90.00
_cell_angle_gamma 120.00
loop_
_space_group_symop_operation_xyz
'x,y,z'
loop_
_atom_site_label
_atom_site_type_symbol
_atom_site_fract_x
_atom_site_fract_y
_atom_site_fract_z
Sm1 Sm 0.0000 0.0000 0.0000
Er1 Er 0.3333 0.6667 0.3344
Er2 Er 0.6667 0.3333 0.6656
Bi1 Bi 0.0000 0.0000 0.5000
Bi2 Bi 0.3333 0.6667 0.8276
Bi3 Bi 0.6667 0.3333 0.1724

=====

Copy entry 2 word for word.
# TbSc2, relaxed, DFT GGA-PBE
# Symmetry ... Fm-3m, No. 225
# Distance to the lowest polymorph of the same formula ... 0.846 eV/atom
# Size of the total moment ... 0.06 Bohr magnetons per cell
# Energy of formation ... 0.88 eV per atom
data_TbSc2
_chemical_formula_sum 'Tb4 Sc8'
_space_group_name_H-M_alt 'P 1'
_space_group_IT_number 1
_cell_length_a 7.1434
_cell_length_b 7.1434
_cell_length_c 7.1434
_cell_angle_alpha 90.00
_cell_angle_beta 90.00
_cell_angle_gamma 90.00
loop_
_space_group_symop_operation_xyz
'x,y,z'
loop_
_atom_site_label
_atom_site_type_symbol
_atom_site_fract_x
_atom_site_fract_y
_atom_site_fract_z
Tb1 Tb 0.0000 0.0000 0.0000
Tb2 Tb 0.0000 0.5000 0.5000
Tb3 Tb 0.5000 0.0000 0.5000
Tb4 Tb 0.5000 0.5000 0.0000
Sc1 Sc 0.2500 0.2500 0.2500
Sc2 Sc 0.2500 0.2500 0.7500
Sc3 Sc 0.2500 0.7500 0.2500
Sc4 Sc 0.2500 0.7500 0.7500
Sc5 Sc 0.7500 0.2500 0.2500
Sc6 Sc 0.7500 0.2500 0.7500
Sc7 Sc 0.7500 0.7500 0.2500
Sc8 Sc 0.7500 0.7500 0.7500

=====

Q: What is the size of the total moment in the third record?
A: 0.00 Bohr magnetons per cell